A plane-wave DFT calculation with PBEsol was carried out for a relaxed CsGaO2 crystal.

a b c (Å): 5.9394 5.9394 5.9394
angles (deg): 60.00 60.00 60.00
With the nearest neighbours (Å) after each atom.
Fractional positions:
Cs1 0.0000 0.0000 0.0000  12 O 3.48, 4 Cs 3.64, 4 Ga 3.64
Cs2 0.2500 0.2500 0.2500  12 O 3.48, 4 Ga 3.64, 4 Cs 3.64
O1 0.6250 0.6250 0.1250  2 Ga 1.82
O2 0.1250 0.6250 0.6250  2 Ga 1.82
O3 0.6250 0.6250 0.6250  2 Ga 1.82
O4 0.6250 0.1250 0.6250  2 Ga 1.82
Ga1 0.7500 0.7500 0.7500  4 O 1.82
Ga2 0.5000 0.5000 0.5000  4 O 1.82

Computed properties:
- Formation energy without anion corrections: -1.770 eV per atom
- Symmetry: No. 227
- DOS at the Fermi energy: 0.0 states/eV/cell
- Magnetic moment: 0.000 μB/f.u.